No. 1
The following is a DFT calculation (GGA-PBE) of a geometry-optimized CaCoBr2 structure.

Properties
DOS at the Fermi energy: 4.61 states/eV per cell
energy relative to the elements, uncorrected: -1.49 eV/f.u.
space-group type: No. 166
relative energy among the computed polymorphs: 347 meV per atom
M_tot: 2.43 μB/cell

Cell lengths 10.954, 10.954, 10.954 Å; angles 20.96, 20.96, 20.96 degrees
Element x y z (fractional)
1 Ca 0.000 0.000 0.000
2 Co 0.500 0.500 0.500
3 Br 0.280 0.280 0.280
4 Br 0.720 0.720 0.720

No. 2
The following is a DFT calculation (GGA-PBE) of a geometry-optimized CaCoBr2 structure.

Properties
DOS at the Fermi energy: 9.50 states/eV per cell
energy relative to the elements, uncorrected: -1.38 eV/f.u.
space-group type: No. 225
relative energy among the computed polymorphs: 375 meV per atom
M_tot: 1.85 μB/cell

Cell lengths 5.027, 5.027, 5.027 Å; angles 60.00, 60.00, 60.00 degrees
Element x y z (fractional)
1 Ca 0.000 0.000 0.000
2 Co 0.500 0.500 0.500
3 Br 0.250 0.250 0.250
4 Br 0.750 0.750 0.750

No. 3
The following is a DFT calculation (GGA-PBE) of a geometry-optimized Ca2CoBr structure.

Properties
DOS at the Fermi energy: 3.86 states/eV per cell
energy relative to the elements, uncorrected: -1.29 eV/f.u.
space-group type: No. 38
relative energy among the computed polymorphs: 143 meV per atom
M_tot: 0.15 μB/cell

Cell lengths 4.745, 5.824, 5.824 Å; angles 36.56, 90.00, 90.00 degrees
Element x y z (fractional)
1 Ca 0.000 0.000 0.000
2 Ca 0.500 0.279 0.279
3 Co 0.500 0.529 0.529
4 Br 0.000 0.727 0.727

No. 4
The following is a DFT calculation (GGA-PBE) of a geometry-optimized CaCo2Br6 structure.

Properties
energy relative to the elements, uncorrected: -7.37 eV/f.u.
space-group type: No. 15
M_tot: 12.00 μB/cell

Cell lengths 9.761, 9.761, 7.064 Å; angles 107.81, 107.81, 82.90 degrees
Element x y z (fractional)
1 Ca 0.246 0.754 0.750
2 Ca 0.754 0.246 0.250
3 Co 0.214 0.376 0.360
4 Co 0.376 0.214 0.860
5 Co 0.624 0.786 0.140
6 Co 0.786 0.624 0.640
7 Br 0.030 0.210 0.172
8 Br 0.156 0.609 0.316
9 Br 0.210 0.030 0.672
10 Br 0.277 0.425 0.736
11 Br 0.391 0.844 0.184
12 Br 0.425 0.277 0.236
13 Br 0.575 0.723 0.764
14 Br 0.609 0.156 0.816
15 Br 0.723 0.575 0.264
16 Br 0.790 0.970 0.328
17 Br 0.844 0.391 0.684
18 Br 0.970 0.790 0.828

No. 5
The following is a DFT calculation (GGA-PBE) of a geometry-optimized CaCoBr2 structure.

Properties
DOS at the Fermi energy: 4.19 states/eV per cell
energy relative to the elements, uncorrected: -1.59 eV/f.u.
space-group type: No. 12
relative energy among the computed polymorphs: 322 meV per atom
M_tot: 1.38 μB/cell

Cell lengths 5.324, 5.324, 5.260 Å; angles 116.76, 116.76, 96.03 degrees
Element x y z (fractional)
1 Ca 0.000 0.000 0.000
2 Co 0.500 0.500 0.000
3 Br 0.000 0.500 0.500
4 Br 0.500 0.000 0.500

No. 6
The following is a DFT calculation (GGA-PBE) of a geometry-optimized CaCoBr structure.

Properties
DOS at the Fermi energy: 5.87 states/eV per cell
energy relative to the elements, uncorrected: 0.04 eV/f.u.
space-group type: No. 129
M_tot: 2.58 μB/cell

Cell lengths 4.708, 4.708, 6.120 Å; angles 90.00, 90.00, 90.00 degrees
Element x y z (fractional)
1 Ca 0.250 0.250 0.159
2 Ca 0.750 0.750 0.841
3 Co 0.250 0.250 0.679
4 Co 0.750 0.750 0.321
5 Br 0.250 0.750 0.500
6 Br 0.750 0.250 0.500

No. 7
The following is a DFT calculation (GGA-PBE) of a geometry-optimized CaCoBr structure.

Properties
DOS at the Fermi energy: 2.30 states/eV per cell
energy relative to the elements, uncorrected: -0.27 eV/f.u.
space-group type: No. 62
M_tot: 0.00 μB/cell

Cell lengths 5.784, 4.317, 10.953 Å; angles 90.00, 90.00, 90.00 degrees
Element x y z (fractional)
1 Ca 0.234 0.250 0.106
2 Ca 0.266 0.750 0.606
3 Ca 0.734 0.250 0.394
4 Ca 0.766 0.750 0.894
5 Co 0.247 0.750 0.880
6 Co 0.253 0.250 0.380
7 Co 0.747 0.750 0.620
8 Co 0.753 0.250 0.120
9 Br 0.170 0.750 0.342
10 Br 0.330 0.250 0.842
11 Br 0.670 0.750 0.158
12 Br 0.830 0.250 0.658

No. 8
The following is a DFT calculation (GGA-PBE) of a geometry-optimized CaCoBr2 structure.

Properties
DOS at the Fermi energy: 5.76 states/eV per cell
energy relative to the elements, uncorrected: -1.49 eV/f.u.
space-group type: No. 123
relative energy among the computed polymorphs: 345 meV per atom
M_tot: 1.61 μB/cell

Cell lengths 4.810, 4.810, 3.696 Å; angles 90.00, 90.00, 90.00 degrees
Element x y z (fractional)
1 Ca 0.000 0.000 0.000
2 Co 0.500 0.500 0.000
3 Br 0.000 0.500 0.500
4 Br 0.500 0.000 0.500

We obtain total DFT energy (no corrections) values of -13.94 -13.83 -14.07 -67.23 -14.04 -21.49 -44.21 -13.95 eV for the cell shown for the records listed above, in that order.